1.
{"formula": "PmSmEuGa", "functional": "PBE", "state": "relaxed", "total_magnetization_mub_per_atom": 1.887, "density_g_cm3": 7.48, "formation_energy_mev_per_atom": -94.0, "total_energy_ev_per_fu": -23.15, "lattice": [[5.455, 0.000, 0.000], [2.727, 4.724, 0.000], [2.727, 1.575, 4.454]], "species": ["Sm", "Eu", "Ga", "Pm"], "fractional_positions": [[0.500, 0.500, 0.500], [0.750, 0.750, 0.750], [0.250, 0.250, 0.250], [0.000, 0.000, 0.000]]}

2.
{"formula": "PmEuGaSn", "functional": "PBE", "state": "relaxed", "total_magnetization_mub_per_atom": 1.780, "density_g_cm3": 7.33, "formation_energy_mev_per_atom": -550.2, "total_energy_ev_per_fu": -24.26, "lattice": [[-3.888, -3.715, 0.077], [0.974, -4.870, 2.065], [-2.251, -1.441, 4.668]], "species": ["Ga", "Sn", "Pm", "Eu"], "fractional_positions": [[0.750, 0.750, 0.750], [0.250, 0.250, 0.250], [0.500, 0.500, 0.500], [0.000, 0.000, 0.000]]}

3.
{"formula": "TbPmEuGa", "functional": "PBE", "state": "relaxed", "total_magnetization_mub_per_atom": 1.888, "density_g_cm3": 7.73, "formation_energy_mev_per_atom": -80.5, "total_energy_ev_per_fu": -23.00, "lattice": [[5.425, 0.000, 0.000], [2.712, 4.698, 0.000], [2.712, 1.566, 4.429]], "species": ["Eu", "Pm", "Ga", "Tb"], "fractional_positions": [[0.500, 0.500, 0.500], [0.250, 0.250, 0.250], [0.000, 0.000, 0.000], [0.750, 0.750, 0.750]]}

4.
{"formula": "PmEuZnGa", "functional": "PBE", "state": "relaxed", "total_magnetization_mub_per_atom": 1.838, "density_g_cm3": 7.04, "formation_energy_mev_per_atom": -398.2, "total_energy_ev_per_fu": -20.92, "lattice": [[-0.355, -5.224, -0.254], [4.244, -2.960, 0.841], [0.371, -2.868, 4.372]], "species": ["Eu", "Ga", "Pm", "Zn"], "fractional_positions": [[0.000, 0.000, 0.000], [0.250, 0.250, 0.250], [0.500, 0.500, 0.500], [0.750, 0.750, 0.750]]}

5.
{"formula": "PrEuGa", "functional": "PBE", "state": "relaxed", "total_magnetization_mub_per_atom": 2.343, "polymorph_energy_mev_per_atom": 89, "density_g_cm3": 6.86, "formation_energy_mev_per_atom": -227.9, "total_energy_ev_per_fu": -18.76, "lattice": [[3.831, 0.000, 0.000], [0.000, 5.145, 0.000], [0.000, -2.572, 4.455]], "species": ["Pr", "Ga", "Eu"], "fractional_positions": [[0.384, 0.333, 0.667], [0.649, 0.667, 0.333], [0.967, 0.000, 0.000]]}

6.
{"formula": "PrEuGa", "functional": "PBE", "state": "relaxed", "total_magnetization_mub_per_atom": 2.441, "polymorph_energy_mev_per_atom": 113, "density_g_cm3": 6.02, "formation_energy_mev_per_atom": -204.1, "total_energy_ev_per_fu": -18.69, "lattice": [[5.209, 0.000, 0.000], [2.605, 4.511, 0.000], [2.605, 1.504, 4.253]], "species": ["Pr", "Ga", "Eu"], "fractional_positions": [[0.500, 0.500, 0.500], [0.250, 0.250, 0.250], [0.000, 0.000, 0.000]]}